Entry 1:
Compound: PaTc3P3
Source: Alexandria via LeMat-Bulk
Functional: GGA-PBE
Structure: optimized geometry

Lattice parameters (Å, degrees): 7.9128 7.9128 4.3474 90.00 90.00 120.00
With the nearest neighbours (Å) after each atom.
Fractional coordinates of all 14 atoms:
Pa (0.3333, 0.6667, 0.2500)  9 P 2.96-3.20, 3 Tc 3.00
Pa (0.6667, 0.3333, 0.7500)  9 P 2.96-3.20, 3 Tc 3.00
Tc (0.0651, 0.8319, 0.2500)  4 P 2.41-2.51
Tc (0.1681, 0.2333, 0.2500)  4 P 2.41-2.51
Tc (0.2333, 0.0651, 0.7500)  4 P 2.41-2.51
Tc (0.7667, 0.9349, 0.2500)  4 P 2.41-2.51
Tc (0.8319, 0.7667, 0.7500)  4 P 2.41-2.51
Tc (0.9349, 0.1681, 0.7500)  4 P 2.41-2.51
P (0.0994, 0.7025, 0.7500)  4 Tc 2.41-2.51
P (0.2975, 0.3969, 0.7500)  4 Tc 2.41-2.51
P (0.3969, 0.0994, 0.2500)  4 Tc 2.41-2.51
P (0.6031, 0.9006, 0.7500)  4 Tc 2.41-2.51
P (0.7025, 0.6031, 0.2500)  4 Tc 2.41-2.51
P (0.9006, 0.2975, 0.2500)  4 Tc 2.41-2.51

**DFT total energy**: -8.711 eV per atom
**Energy relative to the elements**: -4.2 eV/f.u.
**Energy above the most stable polymorph in this dataset**: 0 meV/atom
**Space group**: P6_3/m, No. 176


Entry 2:
Compound: LiBiO2
Source: Alexandria via LeMat-Bulk
Functional: GGA-PBE
Structure: optimized geometry

Lattice parameters (Å, degrees): 6.3726 6.3726 6.3726 29.98 29.98 29.98
With the nearest neighbours (Å) after each atom.
Fractional coordinates of all 4 atoms:
Li (0.0000, 0.0000, 0.0000)  6 O 2.14
Bi (0.5000, 0.5000, 0.5000)  2 O 2.06
O (0.3873, 0.3873, 0.3873)  1 Bi 2.06, 3 Li 2.14
O (0.6127, 0.6127, 0.6127)  1 Bi 2.06, 3 Li 2.14

**DFT total energy**: -4.618 eV per atom
**ΔE_f (raw)**: -0.690 eV per atom
**Space group**: R-3m, No. 166


Entry 3:
Compound: CsCa2GaTc
Source: Alexandria via LeMat-Bulk
Functional: GGA-PBE
Structure: optimized geometry

Lattice parameters (Å, degrees): 5.5559 5.5559 5.8069 90.00 90.00 90.00
With the nearest neighbours (Å) after each atom.
Fractional coordinates of all 5 atoms:
Cs (0.0000, 0.0000, 0.0000)  2 Tc 2.90
Ca (0.0000, 0.5000, 0.5000)  2 Tc 2.78
Ca (0.5000, 0.0000, 0.5000)  2 Tc 2.78
Ga (0.5000, 0.5000, 0.0000)  4 Cs 3.93, 8 Ca 4.02
Tc (0.0000, 0.0000, 0.5000)  4 Ca 2.78, 2 Cs 2.90

**DFT total energy**: -2.786 eV per atom
**Energy relative to the elements**: 4.3 eV/f.u.
**Space group**: P4/mmm, No. 123


- DFT total energy of number 1 (PaTc3P3)?
  -8.711 eV per atom


Please write out number 2 again, unchanged.
Compound: LiBiO2
Source: Alexandria via LeMat-Bulk
Functional: GGA-PBE
Structure: optimized geometry

Lattice parameters (Å, degrees): 6.3726 6.3726 6.3726 29.98 29.98 29.98
With the nearest neighbours (Å) after each atom.
Fractional coordinates of all 4 atoms:
Li (0.0000, 0.0000, 0.0000)  6 O 2.14
Bi (0.5000, 0.5000, 0.5000)  2 O 2.06
O (0.3873, 0.3873, 0.3873)  1 Bi 2.06, 3 Li 2.14
O (0.6127, 0.6127, 0.6127)  1 Bi 2.06, 3 Li 2.14

**DFT total energy**: -4.618 eV per atom
**ΔE_f (raw)**: -0.690 eV per atom
**Space group**: R-3m, No. 166


- Which value of DFT total energy does entry 3 give?
  -2.786 eV per atom


- Among the records above, which one has the highest DFT total energy?
  CsCa2GaTc